No. 1
10
Lattice="8.0697 0.0000 0.0000 0.0000 8.0697 0.0000 4.0349 4.0349 5.7062" Properties=species:S:1:pos:R:3 comment="Rb2SrNbBr6 | the Alexandria database | PBE | optimized geometry" total_energy_ev_per_atom=-3.800 formation_energy_uncorrected_kj_per_mol_atoms=-137.7 pbc="T T T"
Br 6.1458 1.9239 0.0000
Br 8.0697 8.0697 2.7209
Br 1.9239 1.9239 0.0000
Br 6.1458 6.1458 0.0000
Br 1.9239 6.1458 0.0000
Br 4.0349 4.0349 2.9852
Sr 4.0349 4.0349 0.0000
Rb 8.0697 4.0349 2.8531
Rb 4.0349 8.0697 2.8531
Nb 0.0000 0.0000 0.0000

***

No. 2
3
Lattice="5.7172 0.6108 -0.2181 3.5884 4.4926 0.2181 -4.3465 -3.1102 2.1312" Properties=species:S:1:pos:R:3 comment="ZnSiAs | the Alexandria database | PBE | optimized geometry" total_energy_ev_per_atom=-3.413 e_above_lowest_polymorph_mev_per_atom=90 formation_energy_uncorrected_kj_per_mol_atoms=35.6 pbc="T T T"
Zn 6.3043 3.4574 0.0000
As 9.1912 5.0406 0.0000
Si 3.1157 1.7087 0.0000

***

No. 3
10
Lattice="-4.2454 -4.7385 1.9725 -0.8196 -1.9011 -6.3310 2.0221 -1.7072 0.2509" Properties=species:S:1:pos:R:3 comment="TiCo2P2 | the Alexandria database | PBE | optimized geometry" total_energy_ev_per_atom=-7.092 ef_ev_per_atom=-0.51 pbc="T T T"
P -0.9372 -1.3874 -1.8871
P -2.1625 -3.2482 -4.6737
P -4.1278 -5.2523 -2.4714
P -2.9025 -3.3915 0.3152
Co -0.6347 -2.8279 -0.0443
Co -2.9390 -5.6183 -0.4608
Co -0.1039 -2.7285 -3.6469
Co -2.4082 -5.5190 -4.0633
Ti 0.0000 0.0000 0.0000
Ti -2.5325 -3.3198 -2.1792

***

No. 4
15
Lattice="-7.7306 4.4360 0.1730 0.8139 -7.3446 -4.9828 -0.2024 -0.7025 8.9705" Properties=species:S:1:pos:R:3 comment="Ca3Pm3PuTe8 | the Alexandria database | PBE | optimized geometry" total_energy_ev_per_atom=-5.429 formation_energy_uncorrected_kj_per_mol_atoms=-139.6 pbc="T T T"
Te -5.4301 -0.5014 -0.1074
Te -5.5466 -0.8792 4.3760
Te -5.1135 -4.5501 1.8852
Te -2.0056 0.9389 2.2754
Te -1.2862 -6.7463 1.7996
Te -1.5725 -2.7319 -0.2154
Te -1.6890 -3.1098 4.2681
Te -5.8329 3.1351 2.3611
Ca 0.4070 -3.6723 -2.4914
Ca -3.4583 -1.4543 -2.4049
Ca 0.0000 0.0000 0.0000
Pu -0.1012 -0.3513 4.4852
Pm 0.3058 -4.0236 1.9938
Pm -3.9665 1.8667 4.5717
Pm -3.5595 -1.8056 2.0803

***

No. 5
4
Lattice="-3.7943 -1.4607 -1.5175 -0.5993 -1.1780 2.6324 -3.1231 4.8661 3.1250" Properties=species:S:1:pos:R:3 comment="BaIrRh2 | the Alexandria database | PBE | optimized geometry" total_energy_ev_per_atom=-6.032 e_above_lowest_polymorph_mev_per_atom=362 ef_ev_per_atom=0.34 pbc="T T T"
Ir -5.0232 2.5329 3.9167
Rh -2.5611 0.1143 0.0884
Rh -3.1414 4.4603 3.5616
Ba -1.7752 1.8302 2.6770

***

No. 6
3
Lattice="4.8113 0.0000 0.0000 2.4056 4.1667 0.0000 2.4056 1.3889 3.9284" Properties=species:S:1:pos:R:3 comment="ErTlAg | the Alexandria database | PBE | optimized geometry" total_energy_ev_per_atom=-3.413 ef_ev_per_atom=-0.15 pbc="T T T"
Ag 2.4056 1.3889 0.9821
Er 0.0000 0.0000 0.0000
Tl 4.8113 2.7778 1.9642